First-principles (PBE) data for a relaxed structure of CaPrOs4, as listed in the Alexandria database.

Computed properties:
Crystal system ... cubic
Total magnetization ... 0.0 μB/cell
SG ... F-43m, No. 216
Mass density ... 13.939 g cm⁻³

Unit cell a=5.414 b=5.414 c=5.414 alpha=60.00 beta=60.00 gamma=60.00
Element x y z (fractional)
Pr 0.250 0.250 0.250
Ca 0.000 0.000 0.000
Os 0.625 0.625 0.124
Os 0.625 0.124 0.625
Os 0.625 0.625 0.625
Os 0.124 0.625 0.625

---

First-principles (PBE) data for a relaxed structure of Cu3Pt2, as listed in the Alexandria database.

Computed properties:
Crystal system ... triclinic
Total magnetization ... 0.0 μB/cell
SG ... P1, No. 1
Mass density ... 14.126 g cm⁻³

Unit cell a=5.953 b=5.451 c=4.619 alpha=72.78 beta=83.80 gamma=103.66
Element x y z (fractional)
Cu 0.997 0.006 0.999
Cu 0.603 0.103 0.200
Cu 0.199 0.202 0.400
Cu 0.799 0.300 0.598
Cu 0.994 0.491 0.001
Cu 0.607 0.598 0.201
Pt 0.401 0.394 0.810
Pt 0.192 0.692 0.395
Pt 0.806 0.811 0.596
Pt 0.401 0.903 0.800

---

no.,formation energy from the elements (meV/atom)
1,55
2,-118